10
Lattice="4.333 0.000 0.000 0.000 4.333 0.000 0.000 0.000 10.202" Properties=species:S:1:pos:R:3 comment="Pm2Al3GaPt4 | the Alexandria database | PBE | optimized geometry" e_tot_ev_per_atom=-5.88 spacegroup=P-4m2 mass_density_g_cm3=10.59 magmom_total_mub_per_fu=0.0 pbc="T T T"
Pm 2.166 0.000 2.565
Pm 0.000 2.166 7.637
Al 0.000 0.000 5.101
Al 2.166 0.000 8.919
Al 0.000 2.166 1.284
Ga 2.166 2.166 5.101
Pt 2.166 2.166 0.000
Pt 0.000 0.000 0.000
Pt 2.166 0.000 6.459
Pt 0.000 2.166 3.743

=====

10
Lattice="4.280 0.000 0.000 0.000 4.280 0.000 0.000 0.000 10.521" Properties=species:S:1:pos:R:3 comment="Pm2Al4GaPt3 | the Alexandria database | PBE | optimized geometry" e_tot_ev_per_atom=-5.56 spacegroup=P-4m2 mass_density_g_cm3=9.07 magmom_total_mub_per_fu=0.0 pbc="T T T"
Pm 2.140 0.000 2.627
Pm 0.000 2.140 7.893
Al 2.140 2.140 0.000
Al 0.000 0.000 0.000
Al 2.140 0.000 6.700
Al 0.000 2.140 3.821
Ga 2.140 2.140 5.260
Pt 0.000 0.000 5.260
Pt 2.140 0.000 9.160
Pt 0.000 2.140 1.360

=====

12
Lattice="-5.014 -0.105 2.542 0.163 -6.750 0.041 2.704 3.475 5.478" Properties=species:S:1:pos:R:3 comment="PmAlGaPt3 | the Alexandria database | PBE | optimized geometry" e_tot_ev_per_atom=-5.75 spacegroup=Cmcm mass_density_g_cm3=11.73 magmom_total_mub_per_fu=0.0 pbc="T T T"
Pm -2.122 -0.020 5.141
Pm -0.025 -3.360 2.920
Al 1.389 -3.309 5.710
Al -3.535 -0.071 2.351
Ga 0.792 0.047 4.674
Ga -2.939 -3.428 3.387
Pt -0.316 0.007 2.486
Pt 0.047 -1.971 0.012
Pt -2.392 -4.832 1.300
Pt -2.459 -2.024 1.283
Pt 0.115 -4.779 0.029
Pt -1.831 -3.388 5.575

=====

4
Lattice="-4.586 -0.139 1.434 -2.193 -4.230 0.634 -1.087 -1.503 4.434" Properties=species:S:1:pos:R:3 comment="PmAlGaPt | the Alexandria database | PBE | optimized geometry" e_tot_ev_per_atom=-5.06 spacegroup=F-43m mass_density_g_cm3=9.24 magmom_total_mub_per_fu=0.0 pbc="T T T"
Al 0.000 0.000 0.000
Ga -1.966 -1.468 1.625
Pt -5.899 -4.405 4.876
Pm -3.933 -2.936 3.251

=====

10
Lattice="8.216 -0.138 1.683 0.090 5.656 0.041 5.487 2.706 5.740" Properties=species:S:1:pos:R:3 comment="Pm2AlGaPt6 | the Alexandria database | PBE | optimized geometry" e_tot_ev_per_atom=-6.12 spacegroup=R-3m mass_density_g_cm3=12.08 magmom_total_mub_per_fu=0.0 pbc="T T T"
Pm 3.997 5.576 2.727
Pm 9.795 2.648 4.737
Al 4.153 2.759 0.862
Ga 0.000 0.000 0.000
Pt 2.152 4.207 0.468
Pt 11.688 6.839 7.017
Pt 4.793 2.729 3.280
Pt 11.641 4.017 6.996
Pt 2.105 1.385 0.447
Pt 9.000 5.494 4.184

=====

8
Lattice="4.329 0.000 0.000 2.164 3.749 0.000 2.164 1.250 8.696" Properties=species:S:1:pos:R:3 comment="PmAlGa2Pt4 | the Alexandria database | PBE | optimized geometry" e_tot_ev_per_atom=-5.76 spacegroup=R-3m mass_density_g_cm3=12.85 magmom_total_mub_per_fu=0.0 pbc="T T T"
Pm 0.000 0.000 0.000
Al 4.329 2.499 4.348
Ga 6.493 3.749 6.436
Ga 2.164 1.250 2.259
Pt 4.329 2.499 6.845
Pt 6.493 3.749 3.558
Pt 2.164 1.250 5.138
Pt 4.329 2.499 1.850

=====

9
Lattice="4.032 0.000 0.000 0.000 4.032 0.000 0.000 0.000 11.079" Properties=species:S:1:pos:R:3 comment="PmAlGa2Pt5 | the Alexandria database | PBE | optimized geometry" e_tot_ev_per_atom=-5.72 spacegroup=P4/mmm mass_density_g_cm3=11.86 magmom_total_mub_per_fu=0.0 pbc="T T T"
Pm 0.000 0.000 5.540
Al 0.000 0.000 0.000
Ga 2.016 2.016 3.078
Ga 2.016 2.016 8.002
Pt 0.000 2.016 1.565
Pt 2.016 0.000 1.565
Pt 0.000 2.016 9.515
Pt 2.016 0.000 9.515
Pt 2.016 2.016 5.540

=====

10
Lattice="4.215 0.000 0.000 0.000 4.215 0.000 0.000 0.000 10.876" Properties=species:S:1:pos:R:3 comment="Pm2AlGa4Pt3 | the Alexandria database | PBE | optimized geometry" e_tot_ev_per_atom=-5.24 spacegroup=P-4m2 mass_density_g_cm3=10.15 magmom_total_mub_per_fu=0.0 pbc="T T T"
Pm 2.107 0.000 2.661
Pm 0.000 2.107 8.216
Al 2.107 2.107 5.438
Ga 2.107 2.107 0.000
Ga 0.000 0.000 0.000
Ga 2.107 0.000 6.964
Ga 0.000 2.107 3.913
Pt 0.000 0.000 5.438
Pt 2.107 0.000 9.438
Pt 0.000 2.107 1.438

=====

6
Lattice="4.583 0.000 0.000 0.000 4.583 0.000 0.000 0.000 5.675" Properties=species:S:1:pos:R:3 comment="PmAl2GaRh2 | the Alexandria database | PBE | optimized geometry" e_tot_ev_per_atom=-5.46 spacegroup=P4/mmm mass_density_g_cm3=6.61 magmom_total_mub_per_fu=0.0 pbc="T T T"
Pm 0.000 0.000 2.837
Al 2.292 2.292 4.259
Al 2.292 2.292 1.415
Ga 0.000 0.000 0.000
Rh 2.292 0.000 0.000
Rh 0.000 2.292 0.000

=====

20
Lattice="-1.016 0.167 3.255 7.663 -5.908 2.696 5.764 8.109 1.384" Properties=species:S:1:pos:R:3 comment="Pm2Al2GaRh5 | the Alexandria database | PBE | optimized geometry" e_tot_ev_per_atom=-6.46 spacegroup=P4/mbm mass_density_g_cm3=8.95 magmom_total_mub_per_fu=0.0 pbc="T T T"
Pm 6.177 -2.569 2.061
Pm 7.251 4.770 2.019
Pm 3.214 1.606 0.921
Pm 10.214 0.595 3.159
Al 4.561 4.330 1.202
Al 8.867 -2.129 2.878
Al 9.834 3.403 2.896
Al 3.594 -1.202 1.184
Ga 0.000 0.000 0.000
Ga 6.714 1.101 2.040
Rh 1.417 -0.600 2.264
Rh 10.995 2.968 5.071
Rh 4.574 6.168 2.902
Rh 7.395 -0.534 4.127
Rh 7.838 -3.800 4.433
Rh 5.016 2.902 3.208
Rh 7.866 2.455 4.121
Rh 4.546 -0.087 3.214
Rh 3.323 -2.870 2.976
Rh 2.374 4.138 2.319

=====

20
Lattice="3.490 0.000 0.000 0.000 9.958 0.000 0.000 0.000 9.958" Properties=species:S:1:pos:R:3 comment="Pm2AlGa2Rh5 | the Alexandria database | PBE | optimized geometry" e_tot_ev_per_atom=-6.37 spacegroup=P4/mbm mass_density_g_cm3=9.32 magmom_total_mub_per_fu=0.0 pbc="T T T"
Pm 0.000 6.710 1.731
Pm 0.000 3.248 8.227
Pm 0.000 1.731 3.248
Pm 0.000 8.227 6.710
Al 0.000 0.000 0.000
Al 0.000 4.979 4.979
Ga 0.000 1.249 6.228
Ga 0.000 8.708 3.730
Ga 0.000 6.228 8.708
Ga 0.000 3.730 1.249
Rh 1.745 2.003 0.638
Rh 1.745 7.954 9.319
Rh 1.745 0.638 7.954
Rh 1.745 6.982 4.340
Rh 1.745 9.319 2.003
Rh 1.745 2.976 5.617
Rh 1.745 5.617 6.982
Rh 1.745 4.340 2.976
Rh 1.745 4.979 0.000
Rh 1.745 0.000 4.979

=====

10
Lattice="4.075 0.000 0.000 0.000 4.075 0.000 0.000 0.000 11.276" Properties=species:S:1:pos:R:3 comment="Pm2AlGa4Rh3 | the Alexandria database | PBE | optimized geometry" e_tot_ev_per_atom=-5.47 spacegroup=P-4m2 mass_density_g_cm3=8.02 magmom_total_mub_per_fu=0.0 pbc="T T T"
Pm 2.037 0.000 2.741
Pm 0.000 2.037 8.534
Al 2.037 2.037 5.638
Ga 2.037 2.037 0.000
Ga 0.000 0.000 0.000
Ga 2.037 0.000 7.225
Ga 0.000 2.037 4.051
Rh 0.000 0.000 5.638
Rh 2.037 0.000 9.762
Rh 0.000 2.037 1.513

=====

10
Lattice="-2.321 -1.344 3.044 3.042 -2.363 1.276 3.780 8.432 6.604" Properties=species:S:1:pos:R:3 comment="Pm2AlGa4Ru3 | the Alexandria database | PBE | optimized geometry" e_tot_ev_per_atom=-5.75 spacegroup=P-4m2 mass_density_g_cm3=7.99 magmom_total_mub_per_fu=0.0 pbc="T T T"
Pm -0.257 1.343 3.100
Pm 4.398 5.235 5.664
Al 2.250 2.362 5.462
Ga 0.360 -1.853 2.160
Ga 0.000 0.000 0.000
Ga 1.268 4.744 5.764
Ga 2.873 1.834 3.000
Ru 1.890 4.216 3.302
Ru 2.114 6.633 7.244
Ru 2.026 -0.054 1.521

=====

6
Lattice="4.560 0.000 0.000 0.000 4.560 0.000 0.000 0.000 5.675" Properties=species:S:1:pos:R:3 comment="PmAl2GaRu2 | the Alexandria database | PBE | optimized geometry" e_tot_ev_per_atom=-5.90 spacegroup=P4/mmm mass_density_g_cm3=6.63 magmom_total_mub_per_fu=0.0 pbc="T T T"
Pm 0.000 0.000 2.838
Al 2.280 2.280 4.262
Al 2.280 2.280 1.413
Ga 0.000 0.000 0.000
Ru 2.280 0.000 0.000
Ru 0.000 2.280 0.000

=====

20
Lattice="-1.486 -6.991 -0.689 1.444 -3.748 7.423 -7.951 -1.269 2.532" Properties=species:S:1:pos:R:3 comment="PmAl2GaS6 | the Alexandria database | PBE | optimized geometry" e_tot_ev_per_atom=-5.14 spacegroup=C2/c mass_density_g_cm3=3.33 magmom_total_mub_per_fu=0.0 formation_energy_uncorrected_ev_per_atom=-1.1349 pbc="T T T"
Pm -0.489 -5.084 6.437
Pm -7.503 -6.925 2.829
Al -4.378 -5.756 6.946
Al -1.742 -3.055 3.253
Al -3.615 -6.252 2.320
Al -6.250 -8.953 6.013
Ga -6.538 -3.488 3.289
Ga -1.454 -8.521 5.977
S -5.435 -5.661 9.009
S -0.697 -3.147 1.183
S -2.557 -6.347 0.257
S -7.295 -8.862 8.083
S -2.451 -6.912 7.209
S -0.135 -2.832 4.829
S -5.541 -5.097 2.057
S -7.857 -9.176 4.437
S -3.361 -3.722 6.777
S -2.174 -5.243 3.726
S -4.631 -8.286 2.489
S -5.818 -6.765 5.540

=====

6
Lattice="4.465 0.000 0.000 -2.232 3.867 0.000 0.000 0.000 6.917" Properties=species:S:1:pos:R:3 comment="PmScAl2Ga2 | the Alexandria database | PBE | optimized geometry" e_tot_ev_per_atom=-4.67 spacegroup=P-3m1 mass_density_g_cm3=5.33 magmom_total_mub_per_fu=0.0 pbc="T T T"
Pm 0.000 0.000 0.000
Sc 0.000 0.000 3.458
Al 2.232 1.289 4.991
Al 0.000 2.578 1.926
Ga 2.232 1.289 1.910
Ga 0.000 2.578 5.007

=====

7
Lattice="-1.614 0.463 -3.947 2.497 -0.648 -3.427 -2.618 -10.869 -2.535" Properties=species:S:1:pos:R:3 comment="PmSm2Al2Ga2 | the Alexandria database | PBE | optimized geometry" e_tot_ev_per_atom=-4.38 spacegroup=R-3m mass_density_g_cm3=5.95 magmom_total_mub_per_fu=0.3 pbc="T T T"
Pm 0.000 0.000 0.000
Sm -1.530 -6.832 -2.506
Sm -0.205 -4.222 -7.403
Al 0.063 -2.073 -4.930
Al -1.798 -8.981 -4.979
Ga -1.428 -8.761 -7.436
Ga -0.307 -2.293 -2.474

=====

4
Lattice="-1.424 5.160 0.369 -3.459 1.564 3.792 1.709 2.966 4.132" Properties=species:S:1:pos:R:3 comment="SrPmAlGa | the Alexandria database | PBE | optimized geometry" e_tot_ev_per_atom=-3.58 spacegroup=F-43m mass_density_g_cm3=5.01 magmom_total_mub_per_fu=0.0 pbc="T T T"
Sr -1.587 4.845 4.146
Al -2.380 7.268 6.219
Ga -0.793 2.423 2.073
Pm 0.000 0.000 0.000

=====

6
Lattice="-0.416 2.903 -3.296 -0.046 -4.328 -0.854 -7.644 -0.093 0.882" Properties=species:S:1:pos:R:3 comment="TbPmAl2Ga2 | the Alexandria database | PBE | optimized geometry" e_tot_ev_per_atom=-4.40 spacegroup=P-3m1 mass_density_g_cm3=6.37 magmom_total_mub_per_fu=0.0 pbc="T T T"
Tb -3.822 -0.047 0.441
Pm 0.000 0.000 0.000
Al -5.986 0.423 -1.825
Al -2.120 -1.942 -1.443
Ga -2.263 0.468 -2.255
Ga -5.842 -1.987 -1.013

=====

7
Lattice="-3.052 -2.555 1.537 0.471 -1.823 3.829 -5.947 7.581 6.717" Properties=species:S:1:pos:R:3 comment="Pm2ThAl2Ga2 | the Alexandria database | PBE | optimized geometry" e_tot_ev_per_atom=-4.76 spacegroup=R-3m mass_density_g_cm3=6.56 magmom_total_mub_per_fu=0.0 pbc="T T T"
Pm -4.060 4.226 4.888
Pm -4.469 -1.024 7.195
Th 0.000 0.000 0.000
Al -2.640 -1.284 4.468
Al -5.888 4.487 7.615
Ga -6.657 2.867 9.316
Ga -1.871 0.336 2.768